! KPm2Ru PBE optimized geometry; values from VASP
! Volume in Å³/atom: 40.55
! Calculated total energy in eV/atom: -4.952
! ΔE to the lowest computed polymorph in kcal/mol of atoms: 0.94
! ΔH_f (0 K) in eV/atom: 0.0166
&SYSTEM
  ibrav = 0, nat = 4, ntyp = 3
/
ATOMIC_SPECIES
Pm 145.00 Pm.upf
Ru 101.07 Ru.upf
K 39.10 K.upf
ATOMIC_POSITIONS angstrom
Pm 6.161 3.557 4.072
Pm 2.054 1.186 7.029
Ru 4.107 2.371 5.551
K 0.000 0.000 0.000
CELL_PARAMETERS angstrom
4.107 0.000 0.000
2.054 3.557 0.000
2.054 1.186 11.101